# Dy12CdCo6 (PBE, relaxed)
# **Uncorrected energy**: -0.199 hartree per atom
# **Mass density**: 8931 kg/m³
data_Dy12CdCo6
_chemical_formula_sum 'Dy12 Cd1 Co6'
_cell_length_a 8.356
_cell_length_b 8.356
_cell_length_c 8.356
_cell_angle_alpha 109.47
_cell_angle_beta 109.47
_cell_angle_gamma 109.47
_symmetry_space_group_name_H-M 'P 1'
_symmetry_Int_Tables_number 1
_symmetry_space_group_name_Hall 'P 1'
loop_
_atom_site_label
_atom_site_type_symbol
_atom_site_fract_x
_atom_site_fract_y
_atom_site_fract_z
Dy1 Dy 0.109 0.806 0.303
Dy2 Dy 0.194 0.303 0.498
Dy3 Dy 0.194 0.697 0.891
Dy4 Dy 0.303 0.109 0.806
Dy5 Dy 0.303 0.498 0.194
Dy6 Dy 0.498 0.194 0.303
Dy7 Dy 0.502 0.806 0.697
Dy8 Dy 0.697 0.502 0.806
Dy9 Dy 0.697 0.891 0.194
Dy10 Dy 0.806 0.303 0.109
Dy11 Dy 0.806 0.697 0.502
Dy12 Dy 0.891 0.194 0.697
Cd1 Cd 0.000 0.000 0.000
Co1 Co 0.113 0.613 0.500
Co2 Co 0.387 0.500 0.887
Co3 Co 0.500 0.113 0.613
Co4 Co 0.500 0.887 0.387
Co5 Co 0.613 0.500 0.113
Co6 Co 0.887 0.387 0.500